[1]
Compound: Ti4Al2N
Source: the Alexandria database
Functional: GGA-PBE
Structure: optimized geometry

abc: 4.0040 4.0040 13.9688
angles: 90.00 90.00 90.00
Closest atoms and distances in Å follow each position.
Element x y z (fractional)
Ti  0.0000  0.0000  0.1539  1 N 2.15
Ti  0.0000  0.0000  0.8461  1 N 2.15
Ti  0.0000  0.5000  0.0000  2 N 2.00
Ti  0.0000  0.5000  0.5000  2 N 2.00
Ti  0.5000  0.0000  0.0000  2 N 2.00
Ti  0.5000  0.0000  0.5000  2 N 2.00
Ti  0.5000  0.5000  0.3461  1 N 2.15
Ti  0.5000  0.5000  0.6539  1 N 2.15
Al  0.0000  0.0000  0.3554  9 Ti 2.81-2.84
Al  0.0000  0.0000  0.6446  9 Ti 2.81-2.84
Al  0.5000  0.5000  0.1446  9 Ti 2.81-2.84
Al  0.5000  0.5000  0.8554  9 Ti 2.81-2.84
N  0.0000  0.0000  0.0000  6 Ti 2.00-2.15
N  0.5000  0.5000  0.5000  6 Ti 2.00-2.15

- Calculated volume: 223.9 Å³ per cell
- Crystal system: tetragonal
- Space-group type: I4/mmm (139)
- Formation energy from raw total energies: -0.638 eV per atom
- Energy above the lowest structure with this stoichiometry: 0.00 eV per formula unit



[2]
Compound: Ti2AlN
Source: the Alexandria database
Functional: GGA-PBE
Structure: optimized geometry

abc: 5.1831 2.9925 7.1102
angles: 90.00 104.14 90.00
Closest atoms and distances in Å follow each position.
Element x y z (fractional)
Ti  0.2242  0.0000  0.1692  3 N 2.08-2.09
Ti  0.2758  0.5000  0.8308  3 N 2.08-2.09
Ti  0.7242  0.5000  0.1692  3 N 2.08-2.09
Ti  0.7758  0.0000  0.8308  3 N 2.08-2.09
Al  0.0000  0.0000  0.5000  6 Ti 2.86-2.87, 6 Al 2.99
Al  0.5000  0.5000  0.5000  6 Ti 2.86-2.87, 6 Al 2.99
N  0.0000  0.5000  0.0000  6 Ti 2.08-2.09
N  0.5000  0.0000  0.0000  6 Ti 2.08-2.09

- Calculated volume: 106.9 Å³ per cell
- Crystal system: monoclinic
- Space-group type: C2/m (12)
- Formation energy from raw total energies: -1.113 eV per atom
- Energy above the lowest structure with this stoichiometry: 0.24 eV per formula unit



[3]
Compound: TiAlN
Source: the Alexandria database
Functional: GGA-PBE
Structure: optimized geometry

abc: 9.6187 2.8858 7.0296
angles: 90.00 127.19 90.00
Closest atoms and distances in Å follow each position.
Element x y z (fractional)
Ti  0.0882  0.0000  0.3875  3 N 2.04-2.11
Ti  0.4118  0.5000  0.6125  3 N 2.04-2.11
Ti  0.5882  0.5000  0.3875  3 N 2.04-2.11
Ti  0.9118  0.0000  0.6125  3 N 2.04-2.11
Al  0.2470  0.5000  0.8309  2 N 1.98
Al  0.2530  0.0000  0.1691  2 N 1.98
Al  0.7470  0.0000  0.8309  2 N 1.98
Al  0.7530  0.5000  0.1691  2 N 1.98
N  0.1696  0.5000  0.2696  2 Al 1.98, 3 Ti 2.04-2.11
N  0.3304  0.0000  0.7304  2 Al 1.98, 3 Ti 2.04-2.11
N  0.6696  0.0000  0.2696  2 Al 1.98, 3 Ti 2.04-2.11
N  0.8304  0.5000  0.7304  2 Al 1.98, 3 Ti 2.04-2.11

- Calculated volume: 155.4 Å³ per cell
- Crystal system: monoclinic
- Space-group type: C2/m (12)
- Formation energy from raw total energies: -0.750 eV per atom